Here is RbAcV2O8 after structural relaxation from the Alexandria database. Energies are from GGA+U.

Output
Total DFT energy (no corrections) (hartree per atom): -0.254

abc: 6.0930 6.0930 8.3980
angles: 90.00 90.00 120.00
Space group P-3m1 (No. 164)
Asymmetric unit:
Rb 0.0000 0.0000 0.0000
Ac 0.0000 0.0000 0.5000
V 0.3333 0.6667 0.7616
O 0.1769 0.3538 0.6944
O 0.3333 0.6667 0.9667